Compound: BeW2F2
Source: Alexandria via LeMat-Bulk
Functional: GGA+U
Structure: relaxed

Lattice parameters (Å, degrees): 7.4510 7.4510 3.2905 90.00 90.00 90.00
Closest atoms and distances in Å follow each position.
Space group P4/mbm (No. 127)
Symmetry-distinct sites (fractional):
Be 0.0000 0.0000 0.0000 x2  4 W 2.63
W 0.2474 0.2526 0.0000 x4  2 F 2.15
F 0.1162 0.3838 0.5000 x4  2 W 2.15

Summary:
Crystal system: tetragonal
DFT total energy in eV per atom: -4.153
Size of the total moment in μB per formula unit: 7.3
DOS(E_F) in states/eV/cell: 5.11
Energy above the lowest structure with this stoichiometry in eV per atom: 0.507